{"formula": "BaCoPb2", "functional": "GGA-PBE", "state": "relaxed", "lattice_angstrom": [[-0.0766, -3.1283, -1.6586], [1.0222, -1.6005, 2.9894], [-8.0841, -0.9874, 2.2358]], "species": ["Ba", "Pb", "Co", "Pb"], "fractional_positions": [[0.5000, 0.5000, 0.2500], [0.0000, 0.0000, 0.9357], [0.5000, 0.5000, 0.7500], [0.0000, 0.0000, 0.5643]], "sg": "Cmmm, No. 65", "e_form_ev_per_atom": 0.1298}



{"formula": "Rb3Sb4Pd7", "functional": "GGA-PBE", "state": "relaxed", "lattice_angstrom": [[4.4106, 0.0000, 1.1127], [1.8100, 9.0782, 2.1234], [0.0926, -0.7672, 8.9310]], "species": ["Pd", "Rb", "Rb", "Rb", "Pd", "Pd", "Sb", "Sb", "Pd", "Pd", "Sb", "Pd", "Pd", "Sb"], "fractional_positions": [[0.3058, 0.9195, 0.4689], [0.0000, 0.5000, 0.5000], [0.2822, 0.2120, 0.2236], [0.7178, 0.7880, 0.7764], [0.1244, 0.6733, 0.0780], [0.6942, 0.0805, 0.5311], [0.3317, 0.4702, 0.8664], [0.9024, 0.8922, 0.3030], [0.8756, 0.3267, 0.9220], [0.0000, 0.0000, 0.0000], [0.6683, 0.5298, 0.1336], [0.5053, 0.8310, 0.1583], [0.4947, 0.1690, 0.8417], [0.0976, 0.1078, 0.6970]], "sg": "C2/m, No. 12", "raw_formation_energy_ev_per_atom": -0.3708}